The following is a DFT calculation (GGA+U) of a relaxed structure of LiNiPbF6.

a b c (Å): 4.957 4.957 9.852
angles (deg): 90.00 90.00 90.00
Last column: magnetic moment on the atom in μB.
Positions (direct):
Li  0.500  0.500  0.499  0.00
Li  0.000  0.000  0.999  0.00
Ni  0.500  0.500  0.166  1.82
Ni  0.000  0.000  0.666  1.82
Pb  0.500  0.500  0.832  -0.17
Pb  0.000  0.000  0.332  -0.17
F  0.200  0.800  0.516  -0.03
F  0.800  0.200  0.516  -0.03
F  0.300  0.300  0.016  -0.03
F  0.700  0.700  0.016  -0.03
F  0.211  0.789  0.157  -0.03
F  0.789  0.211  0.157  -0.03
F  0.289  0.289  0.657  -0.03
F  0.711  0.711  0.657  -0.03
F  0.823  0.177  0.829  -0.03
F  0.177  0.823  0.829  -0.03
F  0.677  0.677  0.329  -0.03
F  0.323  0.323  0.329  -0.03

Properties
E (hartree per atom): -0.163
Magnetization (μB per formula unit): 1.5